Here is crystalline YNbFeB at its relaxed geometry from OQMD via LeMat-Bulk. Energies are from PBE.

abc: 4.3723 4.3723 4.3723
angles: 60.00 60.00 60.00
Fractional positions:
Fe 0.7500 0.7500 0.7500
B 0.0000 0.0000 0.0000
Nb 0.5000 0.5000 0.5000
Y 0.2500 0.2500 0.2500

Computed properties:
The theoretical density comes out at 7.0 g/cm3. The value obtained for the excess energy over the best structure of this formula in the dataset is 0 meV/atom. For the total energy, the calculation gives -7.199 eV/atom.

Here is crystalline HoTm2Sc3AgTe2 at its relaxed geometry from OQMD via LeMat-Bulk. Energies are from PBE.

abc: 3.9448 8.0483 8.0483
angles: 119.95 90.00 90.00
Fractional positions:
Ag 0.0000 0.9979 0.9979
Ho 0.0000 0.3985 0.3985
Sc 0.5000 0.2507 0.0000
Te 0.5000 0.3330 0.6674
Sc 0.5000 0.0000 0.2507
Te 0.5000 0.6674 0.3330
Tm 0.0000 0.6035 0.0001
Tm 0.0000 0.0001 0.6035
Sc 0.5000 0.7490 0.7490

Computed properties:
The theoretical density comes out at 7.5 g/cm3. For the total energy, the calculation gives -5.261 eV/atom.

Here is crystalline GdYPO at its relaxed geometry from OQMD via LeMat-Bulk. Energies are from PBE.

abc: 4.1922 7.5591 5.6438
angles: 90.00 90.00 90.00
Fractional positions:
Gd 0.5000 0.8733 0.9872
Y 0.0000 0.2960 0.9392
P 0.0000 0.3441 0.4359
Y 0.0000 0.7040 0.4392
O 0.5000 0.1732 0.8917
Gd 0.5000 0.1267 0.4872
O 0.5000 0.8268 0.3917
P 0.0000 0.6559 0.9359

Computed properties:
The theoretical density comes out at 5.4 g/cm3. The value obtained for the excess energy over the best structure of this formula in the dataset is 11 meV/atom. For the total energy, the calculation gives -7.375 eV/atom.

Here is crystalline NaErGa at its relaxed geometry from OQMD via LeMat-Bulk. Energies are from PBE.

abc: 4.9348 4.9348 4.9348
angles: 60.00 60.00 60.00
Last column: magnetic moment on the atom in μB.
Fractional positions:
Er 0.2500 0.2500 0.2500  0.34
Na 0.7500 0.7500 0.7500  0.01
Ga 0.0000 0.0000 0.0000  0.22

Computed properties:
The theoretical density comes out at 5.1 g/cm3. The value obtained for the excess energy over the best structure of this formula in the dataset is 0 meV/atom. For the total energy, the calculation gives -2.899 eV/atom.

Here is crystalline ErLu3Pt4 at its relaxed geometry from OQMD via LeMat-Bulk. Energies are from PBE.

abc: 5.5054 4.4382 6.8777
angles: 90.00 90.22 90.00
Fractional positions:
Lu 0.6408 0.5000 0.8192
Pt 0.3443 0.5000 0.4525
Pt 0.1574 0.5000 0.9582
Lu 0.3594 0.0000 0.1810
Lu 0.8588 0.5000 0.3181
Er 0.1412 0.0000 0.6812
Pt 0.8417 0.0000 0.0461
Pt 0.6563 0.0000 0.5436

Computed properties:
The theoretical density comes out at 14.6 g/cm3. For the formation energy, the calculation gives -10.676 eV/f.u. For the total energy, the calculation gives -6.629 eV/atom.

Here is crystalline PrYTlTe3 at its relaxed geometry from OQMD via LeMat-Bulk. Energies are from PBE.

abc: 8.0573 8.0573 12.3201
angles: 90.00 90.00 147.02
Fractional positions:
Te 0.6458 0.3542 0.5391
Tl 0.7431 0.2569 0.2500
Pr 0.0000 0.0000 0.5000
Te 0.3542 0.6458 0.0391
Y 0.4418 0.5582 0.2500
Te 0.9333 0.0667 0.7500
Te 0.3542 0.6458 0.4609
Te 0.0667 0.9333 0.2500
Y 0.5582 0.4418 0.7500
Te 0.6458 0.3542 0.9609
Pr 0.0000 0.0000 0.0000
Tl 0.2569 0.7431 0.7500

Computed properties:
The theoretical density comes out at 6.2 g/cm3. For the total energy, the calculation gives -4.836 eV/atom.